[1]
# LaPr2Cu PBE-GGA optimized geometry
data_LaPr2Cu
_chemical_formula_sum 'La2 Pr4 Cu2'
_space_group_name_H-M_alt 'P 1 21/m 1'
_space_group_IT_number 11
_space_group_name_Hall '-P 2yb'
_cell_length_a 5.102
_cell_length_b 7.766
_cell_length_c 6.585
_cell_angle_alpha 90.00
_cell_angle_beta 112.72
_cell_angle_gamma 90.00
loop_
_atom_site_label
_atom_site_fract_x
_atom_site_fract_y
_atom_site_fract_z
_atom_site_occupancy
La1 0.050 0.250 0.099 1
Pr1 0.354 0.027 0.708 1
Cu1 0.197 0.750 0.394 1
# * distance to the lowest polymorph of the same formula: 6 meV/atom
# * Fermi-level density of states: 9.4 states/eV/cell
# * crystal system: monoclinic
# * ΔH_f (0 K): -0.05 eV per atom


[2]
# LaPr2Cu2 PBE-GGA optimized geometry
data_LaPr2Cu2
_chemical_formula_sum 'La2 Pr4 Cu4'
_space_group_name_H-M_alt 'P 1 21/m 1'
_space_group_IT_number 11
_space_group_name_Hall '-P 2yb'
_cell_length_a 5.092
_cell_length_b 4.779
_cell_length_c 11.443
_cell_angle_alpha 90.00
_cell_angle_beta 97.96
_cell_angle_gamma 90.00
loop_
_atom_site_label
_atom_site_fract_x
_atom_site_fract_y
_atom_site_fract_z
_atom_site_occupancy
La1 0.188 0.250 0.244 1
Pr1 0.247 0.750 0.489 1
Pr2 0.354 0.250 0.884 1
Cu1 0.107 0.750 0.000 1
Cu2 0.291 0.250 0.638 1
# * distance to the lowest polymorph of the same formula: 12 meV/atom
# * Fermi-level density of states: 9.6 states/eV/cell
# * crystal system: monoclinic
# * ΔH_f (0 K): -0.06 eV per atom


[3]
# LaPr2Cu3 PBE-GGA optimized geometry
data_LaPr2Cu3
_chemical_formula_sum 'La1 Pr2 Cu3'
_space_group_name_H-M_alt 'P 4/m m m'
_space_group_IT_number 123
_space_group_name_Hall '-P 4 2'
_cell_length_a 3.616
_cell_length_b 3.616
_cell_length_c 10.990
_cell_angle_alpha 90.00
_cell_angle_beta 90.00
_cell_angle_gamma 90.00
loop_
_atom_site_label
_atom_site_fract_x
_atom_site_fract_y
_atom_site_fract_z
_atom_site_occupancy
La1 0.000 0.000 0.000 1
Pr1 0.000 0.000 0.334 1
Cu1 0.500 0.500 0.171 1
Cu2 0.500 0.500 0.500 1
# * distance to the lowest polymorph of the same formula: 0 meV/atom
# * Fermi-level density of states: 5.3 states/eV/cell
# * crystal system: tetragonal
# * ΔH_f (0 K): -0.13 eV per atom


[4]
# LaPrCu PBE-GGA optimized geometry
data_LaPrCu
_chemical_formula_sum 'La6 Pr6 Cu6'
_space_group_name_H-M_alt 'A m m 2'
_space_group_IT_number 38
_space_group_name_Hall 'A 2 -2'
_cell_length_a 5.024
_cell_length_b 12.266
_cell_length_c 8.344
_cell_angle_alpha 90.00
_cell_angle_beta 90.00
_cell_angle_gamma 90.00
loop_
_atom_site_label
_atom_site_fract_x
_atom_site_fract_y
_atom_site_fract_z
_atom_site_occupancy
La1 0.000 0.000 0.000 1
La2 0.000 0.192 0.602 1
Pr1 0.500 0.000 0.686 1
Pr2 0.500 0.141 0.290 1
Cu1 0.000 0.000 0.379 1
Cu2 0.500 0.156 0.946 1
# * distance to the lowest polymorph of the same formula: 0 meV/atom
# * Fermi-level density of states: 17.6 states/eV/cell
# * crystal system: orthorhombic
# * ΔH_f (0 K): -0.06 eV per atom


[5]
# LaPrCu PBE-GGA optimized geometry
data_LaPrCu
_chemical_formula_sum 'La4 Pr4 Cu4'
_space_group_name_H-M_alt 'C m c m'
_space_group_IT_number 63
_space_group_name_Hall '-C 2c 2'
_cell_length_a 5.202
_cell_length_b 12.500
_cell_length_c 5.236
_cell_angle_alpha 90.00
_cell_angle_beta 90.00
_cell_angle_gamma 90.00
loop_
_atom_site_label
_atom_site_fract_x
_atom_site_fract_y
_atom_site_fract_z
_atom_site_occupancy
La1 0.000 0.104 0.250 1
Pr1 0.000 0.383 0.250 1
Cu1 0.000 0.242 0.750 1
# * distance to the lowest polymorph of the same formula: 1 meV/atom
# * Fermi-level density of states: 17.8 states/eV/cell
# * crystal system: orthorhombic
# * ΔH_f (0 K): -0.06 eV per atom


[6]
# LaPrCu2 PBE-GGA optimized geometry
data_LaPrCu2
_chemical_formula_sum 'La1 Pr1 Cu2'
_space_group_name_H-M_alt 'P 1 m 1'
_space_group_IT_number 6
_space_group_name_Hall 'P -2y'
_cell_length_a 4.042
_cell_length_b 4.558
_cell_length_c 5.717
_cell_angle_alpha 90.00
_cell_angle_beta 110.40
_cell_angle_gamma 90.00
loop_
_atom_site_label
_atom_site_fract_x
_atom_site_fract_y
_atom_site_fract_z
_atom_site_occupancy
La1 0.000 0.000 0.000 1
Pr1 0.713 0.500 0.430 1
Cu1 0.293 0.000 0.586 1
Cu2 0.418 0.500 0.840 1
# * distance to the lowest polymorph of the same formula: 0 meV/atom
# * Fermi-level density of states: 3.5 states/eV/cell
# * crystal system: monoclinic
# * ΔH_f (0 K): -0.17 eV per atom


[7]
# La2PrCu2 PBE-GGA optimized geometry
data_La2PrCu2
_chemical_formula_sum 'La4 Pr2 Cu4'
_space_group_name_H-M_alt 'C m m m'
_space_group_IT_number 65
_space_group_name_Hall '-C 2 2'
_cell_length_a 4.337
_cell_length_b 16.448
_cell_length_c 3.874
_cell_angle_alpha 90.00
_cell_angle_beta 90.00
_cell_angle_gamma 90.00
loop_
_atom_site_label
_atom_site_fract_x
_atom_site_fract_y
_atom_site_fract_z
_atom_site_occupancy
La1 0.000 0.146 0.000 1
Pr1 0.000 0.500 0.500 1
Cu1 0.000 0.294 0.500 1
# * distance to the lowest polymorph of the same formula: 0 meV/atom
# * Fermi-level density of states: 11.8 states/eV/cell
# * crystal system: orthorhombic
# * ΔH_f (0 K): -0.10 eV per atom


[8]
# LaPr2Cu PBE-GGA optimized geometry
data_LaPr2Cu
_chemical_formula_sum 'La4 Pr8 Cu4'
_space_group_name_H-M_alt 'P n m a'
_space_group_IT_number 62
_space_group_name_Hall '-P 2ac 2n'
_cell_length_a 7.130
_cell_length_b 10.357
_cell_length_c 6.674
_cell_angle_alpha 90.00
_cell_angle_beta 90.00
_cell_angle_gamma 90.00
loop_
_atom_site_label
_atom_site_fract_x
_atom_site_fract_y
_atom_site_fract_z
_atom_site_occupancy
La1 0.022 0.250 0.142 1
Pr1 0.190 0.059 0.669 1
Cu1 0.106 0.750 0.427 1
# * distance to the lowest polymorph of the same formula: 0 meV/atom
# * Fermi-level density of states: 18.0 states/eV/cell
# * crystal system: orthorhombic
# * ΔH_f (0 K): -0.06 eV per atom